(1)
RbCa2Ti | PBE | optimized geometry

a = 6.037 Å, b = 6.037 Å, c = 6.037 Å
α = 60.00°, β = 60.00°, γ = 60.00°
Fractional positions:
Rb 0.000 0.000 0.000
Ca 0.250 0.250 0.250
Ca 0.750 0.750 0.750
Ti 0.500 0.500 0.500

Its space group is No. 225. Its density is 2.28 g cm⁻³. The crystal system is cubic. As for the formation energy: 0.74 eV/atom. The value obtained for the volume is 155.6 Å³ per cell. Its final energy is -2.4792 eV per atom.



(2)
RbCaTi2Zn | PBE | optimized geometry

a = 4.851 Å, b = 4.851 Å, c = 5.418 Å
α = 90.00°, β = 90.00°, γ = 90.00°
Fractional positions:
Rb 0.000 0.000 0.000
Ca 0.000 0.000 0.500
Ti 0.000 0.500 0.000
Ti 0.500 0.000 0.000
Zn 0.500 0.500 0.500

Its space group is No. 123. Its density is 3.73 g cm⁻³. The crystal system is tetragonal. As for the formation energy: 1.86 eV/atom. The value obtained for the volume is 127.5 Å³ per cell. Its final energy is -2.1515 eV per atom.



(3)
Rb2CaTl | PBE | optimized geometry

a = 9.468 Å, b = 9.468 Å, c = 9.468 Å
α = 96.44°, β = 96.44°, γ = 140.85°
Fractional positions:
Rb 0.010 0.625 0.885
Rb 0.375 0.260 0.385
Rb 0.740 0.125 0.115
Rb 0.875 0.990 0.615
Ca 0.250 0.750 0.500
Ca 0.500 0.500 0.000
Tl 0.000 0.000 0.000
Tl 0.750 0.250 0.500

Its space group is No. 122. Its density is 2.73 g cm⁻³. The crystal system is tetragonal. As for the formation energy: 0.16 eV/atom. The value obtained for the volume is 504.9 Å³ per cell. Its final energy is -1.4204 eV per atom.



(4)
Rb2CaTl | PBE | optimized geometry

a = 6.633 Å, b = 6.633 Å, c = 6.633 Å
α = 60.00°, β = 60.00°, γ = 60.00°
Fractional positions:
Rb 0.250 0.250 0.250
Rb 0.750 0.750 0.750
Ca 0.000 0.000 0.000
Tl 0.500 0.500 0.500

Its space group is No. 225. Its density is 3.34 g cm⁻³. The crystal system is cubic. As for the formation energy: 0.22 eV/atom. The value obtained for the volume is 206.4 Å³ per cell. Its final energy is -1.3516 eV per atom.



(5)
RbCaTl | PBE | optimized geometry

a = 8.157 Å, b = 8.157 Å, c = 8.157 Å
α = 150.42°, β = 150.42°, γ = 42.32°
Fractional positions:
Rb 0.000 0.000 0.000
Ca 0.730 0.730 0.000
Tl 0.323 0.323 0.000

Its space group is No. 107. Its density is 4.15 g cm⁻³. The crystal system is tetragonal. As for the formation energy: -0.10 eV/atom. The value obtained for the volume is 131.9 Å³ per cell. Its final energy is -1.8777 eV per atom.



(6)
Rb2CaTl2 | PBE | optimized geometry

a = 8.467 Å, b = 8.467 Å, c = 6.403 Å
α = 90.00°, β = 90.00°, γ = 90.00°
Fractional positions:
Rb 0.177 0.323 0.000
Rb 0.323 0.823 0.000
Rb 0.677 0.177 0.000
Rb 0.823 0.677 0.000
Ca 0.000 0.000 0.500
Ca 0.500 0.500 0.500
Tl 0.127 0.627 0.500
Tl 0.373 0.127 0.500
Tl 0.627 0.873 0.500
Tl 0.873 0.373 0.500

Its space group is No. 127. Its density is 4.48 g cm⁻³. The crystal system is tetragonal. As for the formation energy: 0.00 eV/atom. The value obtained for the volume is 459.1 Å³ per cell. Its final energy is -1.7367 eV per atom.